YMg2Ag PBE optimized geometry; V = 22.58 A^3/atom; calculated formation energy = -0.19 eV per atom; N(E_F) = 3.7 states/eV/f.u.
1.0
0.000 3.561 3.561
3.561 0.000 3.561
3.561 3.561 0.000
Y Mg Ag
1 2 1
Direct
0.000 0.000 0.000
0.500 0.500 0.500
0.750 0.750 0.750
0.250 0.250 0.250



Y4MgAg2 PBE optimized geometry; V = 27.13 A^3/atom; calculated formation energy = -0.11 eV per atom; N(E_F) = 7.0 states/eV/f.u.
1.0
2.584 1.492 8.209
-2.584 1.492 8.209
0.000 -2.984 8.209
Y Mg Ag
4 1 2
Direct
0.115 0.115 0.115
0.368 0.368 0.368
0.632 0.632 0.632
0.885 0.885 0.885
0.500 0.500 0.500
0.243 0.243 0.243
0.757 0.757 0.757



Y2MgAg PBE optimized geometry; V = 25.57 A^3/atom; calculated formation energy = -0.05 eV per atom; N(E_F) = 4.8 states/eV/f.u.
1.0
-2.248 2.248 5.059
2.248 -2.248 5.059
2.248 2.248 -5.059
Y Mg Ag
2 1 1
Direct
0.000 0.000 0.000
0.750 0.250 0.500
0.500 0.500 0.000
0.250 0.750 0.500



Y2MgAg PBE optimized geometry; V = 25.62 A^3/atom; calculated formation energy = -0.21 eV per atom; N(E_F) = 4.1 states/eV/f.u.
1.0
3.735 0.000 0.000
0.000 3.735 0.000
0.000 0.000 7.348
Y Mg Ag
2 1 1
Direct
0.000 0.000 0.241
0.000 0.000 0.759
0.500 0.500 0.500
0.500 0.500 0.000



Y4MgAg2 PBE optimized geometry; V = 28.96 A^3/atom; calculated formation energy = 0.02 eV per atom; N(E_F) = 8.5 states/eV/f.u.
1.0
2.572 1.485 8.848
-2.572 1.485 8.848
0.000 -2.970 8.848
Y Mg Ag
4 1 2
Direct
0.121 0.121 0.121
0.290 0.290 0.290
0.710 0.710 0.710
0.879 0.879 0.879
0.500 0.500 0.500
0.402 0.402 0.402
0.598 0.598 0.598



Y2Mg3Ag PBE optimized geometry; V = 24.83 A^3/atom; calculated formation energy = -0.13 eV per atom; N(E_F) = 4.6 states/eV/f.u.
1.0
3.347 0.000 0.000
0.000 5.078 0.000
0.000 0.000 8.765
Y Mg Ag
2 3 1
Direct
0.000 0.000 0.000
0.000 0.500 0.471
0.500 0.000 0.647
0.500 0.500 0.153
0.500 0.500 0.815
0.500 0.000 0.318



YMg2Ag PBE optimized geometry; V = 23.49 A^3/atom; calculated formation energy = -0.13 eV per atom; N(E_F) = 2.9 states/eV/f.u.
1.0
4.140 0.000 0.000
0.000 4.577 0.000
0.000 0.000 4.957
Y Mg Ag
1 2 1
Direct
0.000 0.000 0.000
0.000 0.500 0.500
0.500 0.000 0.500
0.500 0.500 0.000



YMgAg3 PBE optimized geometry; V = 23.70 A^3/atom; calculated formation energy = 0.21 eV per atom; N(E_F) = 3.6 states/eV/f.u.
1.0
4.912 0.000 0.000
0.000 4.912 0.000
0.000 0.000 4.912
Y Mg Ag
1 1 3
Direct
0.000 0.000 0.000
0.500 0.500 0.500
0.000 0.500 0.500
0.500 0.000 0.500
0.500 0.500 0.000



Y6Mg5Ag PBE optimized geometry; V = 26.87 A^3/atom; calculated formation energy = -0.13 eV per atom; N(E_F) = 15.9 states/eV/f.u.
1.0
5.356 0.000 0.000
0.000 7.487 0.000
-2.645 0.000 8.040
Y Mg Ag
6 5 1
Direct
0.000 0.244 0.000
0.000 0.756 0.000
0.337 0.249 0.673
0.337 0.751 0.673
0.663 0.249 0.327
0.663 0.751 0.327
0.169 0.500 0.337
0.172 0.000 0.346
0.500 0.500 0.000
0.828 0.000 0.654
0.831 0.500 0.663
0.500 0.000 0.000



Y2Mg3Ag4 PBE optimized geometry; V = 21.78 A^3/atom; calculated formation energy = -0.25 eV per atom; N(E_F) = 7.7 states/eV/f.u.
1.0
4.238 -2.446 0.000
4.238 2.446 0.000
-0.008 0.000 9.458
Y Mg Ag
2 3 4
Direct
0.167 0.167 0.219
0.833 0.833 0.781
0.167 0.167 0.579
0.500 0.500 0.000
0.833 0.833 0.421
0.167 0.167 0.902
0.500 0.500 0.354
0.500 0.500 0.646
0.833 0.833 0.098



Y2MgAg PBE optimized geometry; V = 27.85 A^3/atom; calculated formation energy = 0.15 eV per atom; N(E_F) = 5.7 states/eV/f.u.
1.0
-4.211 4.211 3.141
4.211 -4.211 3.141
4.211 4.211 -3.141
Y Mg Ag
4 2 2
Direct
0.088 0.125 0.463
0.375 0.912 0.037
0.662 0.625 0.537
0.875 0.338 0.963
0.250 0.750 0.500
0.500 0.500 0.000
0.000 0.000 0.000
0.750 0.250 0.500



Y5MgAg4 PBE optimized geometry; V = 24.79 A^3/atom; calculated formation energy = -0.28 eV per atom; N(E_F) = 6.8 states/eV/f.u.
1.0
3.657 0.000 0.000
0.000 3.657 0.000
0.000 0.000 18.534
Y Mg Ag
5 1 4
Direct
0.000 0.000 0.000
0.000 0.000 0.197
0.000 0.000 0.393
0.000 0.000 0.607
0.000 0.000 0.803
0.500 0.500 0.500
0.500 0.500 0.098
0.500 0.500 0.297
0.500 0.500 0.703
0.500 0.500 0.902



Y2MgAg PBE optimized geometry; V = 25.19 A^3/atom; calculated formation energy = 0.05 eV per atom; N(E_F) = 4.2 states/eV/f.u.
1.0
0.000 3.694 3.694
3.694 0.000 3.694
3.694 3.694 0.000
Y Mg Ag
2 1 1
Direct
0.000 0.000 0.000
0.250 0.250 0.250
0.750 0.750 0.750
0.500 0.500 0.500



YMg6Ag2 PBE optimized geometry; V = 22.62 A^3/atom; calculated formation energy = -0.11 eV per atom; N(E_F) = 4.9 states/eV/f.u.
1.0
4.285 0.000 0.000
0.000 4.285 0.000
0.000 0.000 11.088
Y Mg Ag
1 6 2
Direct
0.000 0.000 0.000
0.000 0.000 0.500
0.000 0.500 0.282
0.000 0.500 0.718
0.500 0.000 0.282
0.500 0.000 0.718
0.500 0.500 0.500
0.500 0.500 0.122
0.500 0.500 0.878



Y5Mg4Ag PBE optimized geometry; V = 26.71 A^3/atom; calculated formation energy = -0.15 eV per atom; N(E_F) = 12.3 states/eV/f.u.
1.0
3.768 0.000 0.000
0.000 3.768 0.000
0.000 0.000 18.815
Y Mg Ag
5 4 1
Direct
0.000 0.000 0.000
0.000 0.000 0.204
0.000 0.000 0.406
0.000 0.000 0.594
0.000 0.000 0.796
0.500 0.500 0.102
0.500 0.500 0.303
0.500 0.500 0.697
0.500 0.500 0.898
0.500 0.500 0.500



YMg4Ag PBE optimized geometry; V = 23.70 A^3/atom; calculated formation energy = 0.05 eV per atom; N(E_F) = 5.8 states/eV/f.u.
1.0
0.000 4.143 4.143
4.143 0.000 4.143
4.143 4.143 0.000
Y Mg Ag
1 4 1
Direct
0.000 0.000 0.000
0.375 0.375 0.375
0.375 0.375 0.875
0.375 0.875 0.375
0.875 0.375 0.375
0.750 0.750 0.750



YMg2Ag PBE optimized geometry; V = 22.04 A^3/atom; calculated formation energy = -0.10 eV per atom; N(E_F) = 1.6 states/eV/f.u.
1.0
0.000 3.533 3.533
3.533 0.000 3.533
3.533 3.533 0.000
Y Mg Ag
1 2 1
Direct
0.000 0.000 0.000
0.250 0.250 0.250
0.750 0.750 0.750
0.500 0.500 0.500



Y2MgAg6 PBE optimized geometry; V = 20.88 A^3/atom; calculated formation energy = -0.22 eV per atom; N(E_F) = 5.3 states/eV/f.u.
1.0
2.625 -7.857 0.000
2.625 7.857 0.000
-2.568 0.000 4.556
Y Mg Ag
2 1 6
Direct
0.163 0.837 0.000
0.837 0.163 0.000
0.000 0.000 0.500
0.166 0.497 0.665
0.354 0.354 0.183
0.497 0.166 0.665
0.503 0.834 0.335
0.646 0.646 0.817
0.834 0.503 0.335



YMg2Ag PBE optimized geometry; V = 24.37 A^3/atom; calculated formation energy = 0.01 eV per atom; N(E_F) = 2.5 states/eV/f.u.
1.0
1.688 0.974 9.882
-1.688 0.974 9.882
0.000 -1.949 9.882
Y Mg Ag
1 2 1
Direct
0.000 0.000 0.000
0.512 0.512 0.512
0.759 0.759 0.759
0.251 0.251 0.251



Y2MgAg PBE optimized geometry; V = 26.18 A^3/atom; calculated formation energy = -0.13 eV per atom; N(E_F) = 5.2 states/eV/f.u.
1.0
3.594 0.000 0.000
0.000 4.857 0.000
-1.793 0.000 6.000
Y Mg Ag
2 1 1
Direct
0.000 0.000 0.000
0.321 0.500 0.644
0.726 0.000 0.455
0.591 0.500 0.183